# 1
Na2In2SnPb4 (GGA-PBE, relaxed); ΔE_f = -36 meV per atom; symmetry = P-1, No. 2; magnetic moment = 0.00 μB/atom; mass density = 7.461 g cm⁻³; final energy = -27.28 eV per cell
1.0
6.272 0.000 0.000
2.915 6.174 0.000
1.963 -0.723 7.029
Na In Sn Pb
2 2 1 4
Direct
0.018 0.178 0.322
0.982 0.822 0.678
0.423 0.850 0.908
0.577 0.150 0.092
0.500 0.000 0.500
0.000 0.314 0.850
0.000 0.686 0.150
0.489 0.597 0.293
0.511 0.403 0.707

---

# 2
GdPuMgTl (GGA-PBE, relaxed); ΔE_f = -36 meV per atom; symmetry = F-43m, No. 216; magnetic moment = 0.22 μB/atom; mass density = 9.370 g cm⁻³; final energy = -130.07 eV per cell
1.0
7.643 0.000 0.000
0.000 7.643 0.000
0.000 0.000 7.643
Gd Pu Mg Tl
4 4 4 4
Direct
0.000 0.000 0.000
0.000 0.500 0.500
0.500 0.000 0.500
0.500 0.500 0.000
0.000 0.000 0.500
0.000 0.500 0.000
0.500 0.000 0.000
0.500 0.500 0.500
0.250 0.250 0.250
0.250 0.750 0.750
0.750 0.250 0.750
0.750 0.750 0.250
0.250 0.250 0.750
0.250 0.750 0.250
0.750 0.250 0.250
0.750 0.750 0.750